1.
VASP calculation (GGA-PBEsol) on a geometry-optimized ZrSe2F structure.

## Properties
Uncorrected formation energy ... -0.1012 eV per atom
Symmetry ... R-3m
E_tot ... -4.781 eV per atom
Density of states at the Fermi level ... 3.5 states/eV per cell

Cell: 2.984 2.984 9.458 Å, 80.92 80.92 60.00°
Positions (direct):
Zr: 0.000 0.000 0.000
Se: 0.904 0.904 0.289
Se: 0.096 0.096 0.711
F: 0.500 0.500 0.500

***

2.
VASP calculation (GGA-PBEsol) on a geometry-optimized ZrSeF2 structure.

## Properties
Uncorrected formation energy ... -1.4725 eV per atom
Symmetry ... R-3m
E_tot ... -5.671 eV per atom
Density of states at the Fermi level ... 1.7 states/eV per cell

Cell: 3.052 3.052 10.221 Å, 81.41 81.41 60.00°
Each line ends with the local moment (μB).
Positions (direct):
Se: 0.500 0.500 0.500  0.28
F: 0.064 0.064 0.809  0.00
F: 0.936 0.936 0.191  0.00
Zr: 0.000 0.000 0.000  0.00

***

Calculated M_tot in order - 0.000 0.114 μB per atom
Calculated V in order - 71.73 81.24 Å³/cell